(1)
Here is a relaxed structure of V2NiP2O10 from Alexandria via LeMat-Bulk. Energies are from PBE+U.

a b c (Å): 7.4108 6.4266 7.3691
angles (deg): 89.93 90.00 90.00
Last column: nearest neighbours and their distance in Å.
Fractional coordinates of all 30 atoms:
O  0.7463  0.9388  0.6227  1 P 1.56
O  0.7537  0.9388  0.1227  1 P 1.56
O  0.2424  0.4450  0.3532  1 P 1.54
O  0.0038  0.7784  0.7952  1 P 1.56
O  0.6650  0.2276  0.3898  1 V 1.72
O  0.2537  0.0612  0.3773  1 P 1.56
O  0.2463  0.0612  0.8773  1 P 1.56
O  0.4901  0.2585  0.0465  1 P 1.53
O  0.7576  0.5550  0.6468  1 P 1.54
O  0.9962  0.2216  0.2048  1 P 1.56
O  0.0099  0.2585  0.5465  1 P 1.53
O  0.5038  0.2216  0.7048  1 P 1.56
O  0.8350  0.2276  0.8898  1 V 1.72
O  0.1650  0.7724  0.1102  1 V 1.72
O  0.7424  0.5550  0.1468  1 P 1.54
O  0.2576  0.4450  0.8532  1 P 1.54
O  0.3350  0.7724  0.6102  1 V 1.72
O  0.9901  0.7415  0.4535  1 P 1.53
O  0.5099  0.7415  0.9535  1 P 1.53
O  0.4962  0.7784  0.2952  1 P 1.56
Ni  0.5000  0.0000  0.5000  6 O 2.07-2.08
Ni  0.0000  0.0000  0.0000  6 O 2.07-2.08
P  0.1230  0.2508  0.3723  4 O 1.53-1.56
P  0.6230  0.7492  0.1277  4 O 1.53-1.56
P  0.8770  0.7492  0.6277  4 O 1.53-1.56
P  0.3770  0.2508  0.8723  4 O 1.53-1.56
V  0.2783  0.7438  0.8357  2 O 1.72-1.92
V  0.2217  0.7438  0.3357  2 O 1.72-1.92
V  0.7783  0.2562  0.6643  2 O 1.72-1.92
V  0.7217  0.2562  0.1643  2 O 1.72-1.92

Space group   P2_1/c
Energy above the most stable polymorph in this dataset   0 meV per atom

(2)
Here is a relaxed structure of V3Ni2P6WO24 from Alexandria via LeMat-Bulk. Energies are from PBE+U.

a b c (Å): 8.5499 8.6885 8.6885
angles (deg): 60.00 59.46 59.46
Last column: nearest neighbours and their distance in Å.
Fractional coordinates of all 36 atoms:
Ni  0.5018  0.4994  0.4994  6 O 2.16
Ni  0.0119  0.9960  0.9960  6 O 2.12-2.26
O  0.7247  0.4390  0.2439  1 P 1.55
O  0.2251  0.0919  0.7431  1 P 1.55
O  0.7247  0.5924  0.4390  1 P 1.55
O  0.7687  0.9095  0.2575  1 P 1.61
O  0.9338  0.6869  0.4906  1 P 1.51
O  0.9338  0.4906  0.8886  1 P 1.51
O  0.0687  0.1096  0.3199  1 P 1.51
O  0.5661  0.8186  0.6108  1 P 1.52
O  0.2809  0.5549  0.7572  1 P 1.55
O  0.4325  0.3899  0.9991  1 P 1.58
O  0.9338  0.8886  0.6869  1 P 1.51
O  0.7687  0.0643  0.9095  1 P 1.61
O  0.5661  0.0045  0.8186  1 P 1.52
O  0.7687  0.2575  0.0643  1 P 1.61
O  0.2251  0.9399  0.0919  1 P 1.55
O  0.0687  0.5019  0.1096  1 P 1.51
O  0.4325  0.9991  0.1785  1 P 1.58
O  0.2809  0.4070  0.5549  1 P 1.55
O  0.0687  0.3199  0.5019  1 P 1.51
O  0.2809  0.7572  0.4070  1 P 1.55
O  0.5661  0.6108  0.0045  1 P 1.52
O  0.7247  0.2439  0.5924  1 P 1.55
O  0.2251  0.7431  0.9399  1 P 1.55
O  0.4325  0.1785  0.3899  1 P 1.58
P  0.7492  0.4605  0.0450  4 O 1.51-1.61
P  0.2451  0.5492  0.9531  4 O 1.51-1.58
P  0.7492  0.7453  0.4605  4 O 1.51-1.61
P  0.2451  0.9531  0.2526  4 O 1.51-1.58
P  0.2451  0.2526  0.5492  4 O 1.51-1.58
P  0.7492  0.0450  0.7453  4 O 1.51-1.61
V  0.4283  0.8572  0.8572  6 O 1.96-2.07
V  0.0759  0.6414  0.6414  6 O 1.99-2.09
V  0.9246  0.3585  0.3585  6 O 1.98-2.05
W  0.5727  0.1424  0.1424  6 O 1.96-2.03

Density of states at the Fermi level   0.369 states/eV per atom
Space group   R3

(3)
Here is a relaxed structure of NiPWO2 from Alexandria via LeMat-Bulk. Energies are from PBE+U.

a b c (Å): 3.8095 3.8095 5.1253
angles (deg): 90.00 90.00 90.00
Last column: nearest neighbours and their distance in Å.
Fractional coordinates of all 5 atoms:
P  0.0000  0.0000  0.5000  2 W 2.56, 4 Ni 2.69
O  0.5000  0.0000  0.0000  2 W 1.90
O  0.0000  0.5000  0.0000  2 W 1.90
W  0.0000  0.0000  0.0000  4 O 1.90
Ni  0.5000  0.5000  0.5000  4 P 2.69

Density of states at the Fermi level   0.081 states/eV per atom
Space group   P4/mmm
Energy above the most stable polymorph in this dataset   0 meV per atom

(4)
Here is a relaxed structure of NiPWO2 from Alexandria via LeMat-Bulk. Energies are from PBE+U.

a b c (Å): 3.7317 3.7317 4.6716
angles (deg): 90.00 90.00 90.00
Last column: nearest neighbours and their distance in Å.
Fractional coordinates of all 5 atoms:
O  0.0000  0.5000  0.0000  2 Ni 1.87
O  0.5000  0.0000  0.0000  2 Ni 1.87
P  0.0000  0.0000  0.5000  2 Ni 2.34
W  0.5000  0.5000  0.5000  4 P 2.64
Ni  0.0000  0.0000  0.0000  4 O 1.87

Density of states at the Fermi level   0.443 states/eV per atom
Space group   P4/mmm
Energy above the most stable polymorph in this dataset   881 meV per atom

(5)
Here is a relaxed structure of YNiPO2 from Alexandria via LeMat-Bulk. Energies are from PBE+U.

a b c (Å): 4.1961 4.1961 5.9036
angles (deg): 90.00 90.00 90.00
Last column: nearest neighbours and their distance in Å.
Fractional coordinates of all 5 atoms:
Ni  0.5000  0.5000  0.5000  4 P 2.97
Y  0.0000  0.0000  0.0000  4 O 2.10
P  0.0000  0.0000  0.5000  2 Y 2.95, 4 Ni 2.97
O  0.5000  0.0000  0.0000  2 Y 2.10
O  0.0000  0.5000  0.0000  2 Y 2.10

Density of states at the Fermi level   0.903 states/eV per atom
Space group   P4/mmm
Energy above the most stable polymorph in this dataset   445 meV per atom

(6)
Here is a relaxed structure of YNiPO2 from Alexandria via LeMat-Bulk. Energies are from PBE+U.

a b c (Å): 3.9482 3.9482 4.3255
angles (deg): 90.00 90.00 90.00
Last column: nearest neighbours and their distance in Å.
Fractional coordinates of all 5 atoms:
Y  0.5000  0.5000  0.5000  4 P 2.79, 8 O 2.93
P  0.0000  0.0000  0.5000  2 Ni 2.16
O  0.0000  0.5000  0.0000  2 Ni 1.97
O  0.5000  0.0000  0.0000  2 Ni 1.97
Ni  0.0000  0.0000  0.0000  4 O 1.97, 2 P 2.16

Density of states at the Fermi level   0.446 states/eV per atom
Space group   P4/mmm
Energy above the most stable polymorph in this dataset   0 meV per atom

(7)
Here is a relaxed structure of ZnNiP2O7 from Alexandria via LeMat-Bulk. Energies are from PBE+U.

a b c (Å): 5.6097 6.3604 7.4019
angles (deg): 82.71 87.77 71.60
Last column: nearest neighbours and their distance in Å.
Fractional coordinates of all 22 atoms:
O  0.3922  0.9549  0.6731  1 P 1.54
O  0.6078  0.0451  0.3269  1 P 1.54
O  0.0631  0.2772  0.7828  2 P 1.59-1.61
O  0.3843  0.3572  0.5728  1 P 1.53
O  0.3559  0.4493  0.1661  1 P 1.54
O  0.9368  0.7937  0.5532  1 P 1.54
O  0.9072  0.3056  0.0981  1 P 1.54
O  0.0928  0.6944  0.9019  1 P 1.54
O  0.6441  0.5507  0.8339  1 P 1.54
O  0.0632  0.2063  0.4468  1 P 1.54
O  0.9369  0.7228  0.2172  2 P 1.59-1.61
O  0.6157  0.6428  0.4272  1 P 1.53
O  0.3044  0.8665  0.1171  1 P 1.51
O  0.6956  0.1335  0.8829  1 P 1.51
P  0.2290  0.1969  0.6107  4 O 1.53-1.59
P  0.7710  0.8031  0.3893  4 O 1.53-1.59
P  0.1880  0.6871  0.0963  4 O 1.51-1.61
P  0.8120  0.3129  0.9037  4 O 1.51-1.61
Zn  0.6780  0.3446  0.3380  5 O 2.01-2.20
Zn  0.3220  0.6554  0.6620  5 O 2.01-2.20
Ni  0.2608  0.1606  0.2002  5 O 1.98-2.10
Ni  0.7392  0.8394  0.7998  5 O 1.98-2.10

Density of states at the Fermi level   0.000 states/eV per atom
Space group   P-1
Energy above the most stable polymorph in this dataset   13 meV per atom

(8)
Here is a relaxed structure of ZnNiP2O7 from Alexandria via LeMat-Bulk. Energies are from PBE+U.

a b c (Å): 8.3948 7.0253 9.1016
angles (deg): 66.52 90.00 90.00
Last column: nearest neighbours and their distance in Å.
Fractional coordinates of all 44 atoms:
P  0.7271  0.4710  0.4677  4 O 1.54-1.59
P  0.2298  0.9390  0.7413  4 O 1.51-1.61
P  0.2271  0.5290  0.0323  4 O 1.54-1.59
P  0.7729  0.4710  0.9677  4 O 1.54-1.59
P  0.2702  0.9390  0.2413  4 O 1.51-1.61
P  0.7702  0.0610  0.2587  4 O 1.51-1.61
P  0.7298  0.0610  0.7587  4 O 1.51-1.61
P  0.2729  0.5290  0.5323  4 O 1.54-1.59
O  0.6702  0.2547  0.6010  2 P 1.59-1.61
O  0.2387  0.1173  0.7994  1 P 1.54
O  0.8899  0.4443  0.4003  1 P 1.54
O  0.4075  0.9764  0.1207  1 P 1.54
O  0.7613  0.8827  0.2006  1 P 1.54
O  0.8869  0.1095  0.8160  1 P 1.51
O  0.9075  0.0236  0.3793  1 P 1.54
O  0.6131  0.1095  0.3160  1 P 1.51
O  0.1101  0.5557  0.5997  1 P 1.54
O  0.7387  0.8827  0.7006  1 P 1.54
O  0.2641  0.3718  0.4531  1 P 1.54
O  0.1702  0.7453  0.8990  2 P 1.59-1.61
O  0.3298  0.7453  0.3990  2 P 1.59-1.61
O  0.2613  0.1173  0.2994  1 P 1.54
O  0.3869  0.8905  0.6840  1 P 1.51
O  0.6101  0.4443  0.9003  1 P 1.54
O  0.9079  0.5222  0.8433  1 P 1.54
O  0.5921  0.5222  0.3433  1 P 1.54
O  0.8298  0.2547  0.1010  2 P 1.59-1.61
O  0.0925  0.9764  0.6207  1 P 1.54
O  0.1131  0.8905  0.1840  1 P 1.51
O  0.7359  0.6282  0.5469  1 P 1.54
O  0.0921  0.4778  0.1567  1 P 1.54
O  0.2359  0.3718  0.9531  1 P 1.54
O  0.7641  0.6282  0.0469  1 P 1.54
O  0.5925  0.0236  0.8793  1 P 1.54
O  0.3899  0.5557  0.0997  1 P 1.54
O  0.4079  0.4778  0.6567  1 P 1.54
Ni  0.9240  0.7721  0.6092  6 O 2.05-2.21
Ni  0.0760  0.2279  0.3908  6 O 2.05-2.21
Ni  0.5760  0.7721  0.1092  6 O 2.05-2.21
Ni  0.4240  0.2279  0.8908  6 O 2.05-2.21
Zn  0.4446  0.3049  0.3182  5 O 1.98-2.12
Zn  0.0554  0.3049  0.8182  5 O 1.98-2.12
Zn  0.5554  0.6951  0.6818  5 O 1.98-2.12
Zn  0.9446  0.6951  0.1818  5 O 1.98-2.12

Density of states at the Fermi level   0.000 states/eV per atom
Space group   P2_1/c
Energy above the most stable polymorph in this dataset   0 meV per atom

no.,size of the total moment (Bohr magnetons per cell),final energy (eV/atom)
1,8.00,-7.216
2,11.00,-7.206
3,0.98,-5.649
4,2.86,-4.768
5,2.53,-5.304
6,0.42,-5.749
7,3.90,-6.391
8,7.89,-6.404